VASP calculation (GGA-PBE) on crystalline Tb5Dy3Tl2 at its relaxed geometry.

Cell and atoms, written as CIF:
```
data_Tb5Dy3Tl2
_chemical_formula_sum 'Tb10 Dy6 Tl4'
_space_group_name_H-M_alt 'P 1'
_space_group_IT_number 1
_cell_length_a 10.543
_cell_length_b 10.543
_cell_length_c 10.543
_cell_angle_alpha 104.75
_cell_angle_beta 86.10
_cell_angle_gamma 144.43
loop_
_space_group_symop_operation_xyz
'x,y,z'
loop_
_atom_site_label
_atom_site_type_symbol
_atom_site_fract_x
_atom_site_fract_y
_atom_site_fract_z
_atom_site_occupancy
Tb1 Tb 0.165 0.118 0.283 1
Tb2 Tb 0.250 0.001 0.751 1
Tb3 Tb 0.250 0.250 0.000 1
Tb4 Tb 0.250 0.499 0.249 1
Tb5 Tb 0.335 0.618 0.953 1
Tb6 Tb 0.665 0.382 0.047 1
Tb7 Tb 0.750 0.501 0.751 1
Tb8 Tb 0.750 0.750 0.000 1
Tb9 Tb 0.750 0.999 0.249 1
Tb10 Tb 0.835 0.882 0.717 1
Dy1 Dy 0.228 0.383 0.612 1
Dy2 Dy 0.250 0.750 0.500 1
Dy3 Dy 0.272 0.883 0.155 1
Dy4 Dy 0.728 0.117 0.845 1
Dy5 Dy 0.750 0.250 0.500 1
Dy6 Dy 0.772 0.617 0.388 1
Tl1 Tl 0.145 0.630 0.774 1
Tl2 Tl 0.355 0.130 0.485 1
Tl3 Tl 0.645 0.870 0.515 1
Tl4 Tl 0.855 0.370 0.226 1
```

Calculated formation energy = 0.14 eV/atom
Calculated volume = 31.93 Å³ per atom